1.
VASP calculation (GGA-PBEsol) on an optimized crystal structure of CoHg2As.

Lattice parameters (Å, degrees): 2.8892 2.8892 8.8408 90.00 90.00 90.00
Closest atoms and distances in Å follow each position.
Element x y z (fractional)
Co 0.0000 0.0000 0.0000  4 As 2.41
Hg 0.0000 0.0000 0.5285  4 Hg 2.89
Hg 0.5000 0.5000 0.2192  4 Co 2.82, 4 Hg 2.89
As 0.5000 0.5000 0.8551  4 Co 2.41


2.
VASP calculation (GGA-PBEsol) on an optimized crystal structure of Li3TiV3O8.

Output
For the energy above the lowest structure with this stoichiometry, the calculation gives 0 meV/atom. The calculation puts the formation energy (no corrections) at -2.46 eV/atom.

Lattice parameters (Å, degrees): 5.5968 5.5968 9.5910 90.00 90.00 120.00
Closest atoms and distances in Å follow each position.
Element x y z (fractional)
Li 0.1640 0.3280 0.0000  6 O 1.93-2.15
Li 0.1640 0.8360 0.0000  6 O 1.93-2.15
Li 0.3280 0.1640 0.5000  6 O 1.93-2.15
Li 0.6720 0.8360 0.0000  6 O 1.93-2.15
Li 0.8360 0.1640 0.5000  6 O 1.93-2.15
Li 0.8360 0.6720 0.5000  6 O 1.93-2.15
Ti 0.3333 0.6667 0.5611  3 O 1.86
Ti 0.6667 0.3333 0.0611  3 O 1.86
V 0.1887 0.3773 0.2728  6 O 1.91-2.08
V 0.1887 0.8113 0.2728  6 O 1.91-2.08
V 0.3773 0.1887 0.7728  6 O 1.91-2.08
V 0.6227 0.8113 0.2728  6 O 1.91-2.08
V 0.8113 0.1887 0.7728  6 O 1.91-2.08
V 0.8113 0.6227 0.7728  6 O 1.91-2.08
O 0.0000 0.0000 0.3740  3 Li 2.00, 3 V 2.07
O 0.0000 0.0000 0.8740  3 Li 2.00, 3 V 2.07
O 0.0247 0.5123 0.4025  2 V 1.91, 2 Li 1.93, 1 Ti 2.13
O 0.1630 0.3260 0.6512  1 Ti 1.86, 2 V 2.08
O 0.1630 0.8370 0.6512  1 Ti 1.86, 2 V 2.08
O 0.3260 0.1630 0.1512  1 Ti 1.86, 2 V 2.08
O 0.3333 0.6667 0.1318  3 V 1.95, 3 Li 2.07
O 0.4877 0.5123 0.4025  2 V 1.91, 2 Li 1.93, 1 Ti 2.13
O 0.4877 0.9753 0.4025  2 V 1.91, 2 Li 1.93, 1 Ti 2.13
O 0.5123 0.0247 0.9025  2 V 1.91, 2 Li 1.93, 1 Ti 2.13
O 0.5123 0.4877 0.9025  2 V 1.91, 2 Li 1.93, 1 Ti 2.13
O 0.6667 0.3333 0.6318  3 V 1.95, 3 Li 2.07
O 0.6740 0.8370 0.6512  1 Ti 1.86, 2 V 2.08
O 0.8370 0.1630 0.1512  1 Ti 1.86, 2 V 2.08
O 0.8370 0.6740 0.1512  1 Ti 1.86, 2 V 2.08
O 0.9753 0.4877 0.9025  2 V 1.91, 2 Li 1.93, 1 Ti 2.13


3.
VASP calculation (GGA-PBEsol) on an optimized crystal structure of LiHf3Ag.

Lattice parameters (Å, degrees): 5.0818 5.0818 5.0818 90.00 90.00 90.00
Closest atoms and distances in Å follow each position.
Element x y z (fractional)
Li 0.0000 0.0000 0.0000  12 Hf 3.59
Hf 0.0000 0.5000 0.5000  2 Ag 2.54
Hf 0.5000 0.0000 0.5000  2 Ag 2.54
Hf 0.5000 0.5000 0.0000  2 Ag 2.54
Ag 0.5000 0.5000 0.5000  6 Hf 2.54


4.
VASP calculation (GGA-PBEsol) on an optimized crystal structure of ZnAgIr2.

Lattice parameters (Å, degrees): 5.3172 5.3172 2.7048 104.01 104.01 119.44
Closest atoms and distances in Å follow each position.
Element x y z (fractional)
Zn 0.0000 0.0000 0.0000  4 Ir 2.68, 4 Ag 2.68-2.75, 2 Zn 2.70
Ag 0.5000 0.5000 0.0000  4 Ir 2.68, 4 Zn 2.68-2.75, 2 Ag 2.70
Ir 0.0000 0.5000 0.5000  2 Zn 2.68, 2 Ag 2.68, 6 Ir 2.68-2.75
Ir 0.5000 0.0000 0.5000  2 Zn 2.68, 2 Ag 2.68, 6 Ir 2.68-2.75


5.
VASP calculation (GGA-PBEsol) on an optimized crystal structure of SrHg2Te2.

Output
The calculation puts the formation energy (no corrections) at -0.54 eV/atom.

Lattice parameters (Å, degrees): 6.2219 6.2219 6.2219 126.01 126.01 79.87
Closest atoms and distances in Å follow each position.
Element x y z (fractional)
Sr 0.0000 0.0000 0.0000  2 Hg 3.43, 8 Te 3.70
Hg 0.3598 0.3598 0.0000  1 Hg 2.67
Hg 0.6402 0.6402 0.0000  1 Hg 2.67
Te 0.2500 0.7500 0.5000  4 Hg 3.01
Te 0.7500 0.2500 0.5000  4 Hg 3.01


6.
VASP calculation (GGA-PBEsol) on an optimized crystal structure of ZrCu2Pb.

Lattice parameters (Å, degrees): 8.4514 8.4514 8.4514 22.53 22.53 22.53
Closest atoms and distances in Å follow each position.
Element x y z (fractional)
Zr 0.0000 0.0000 0.0000  6 Cu 2.72
Cu 0.2550 0.2550 0.2550  3 Zr 2.72, 3 Pb 2.90
Cu 0.7450 0.7450 0.7450  3 Zr 2.72, 3 Pb 2.90
Pb 0.5000 0.5000 0.5000  6 Cu 2.90


no.,VASP energy (eV/atom)
1,-3.447
2,-8.135
3,-6.203
4,-5.943
5,-2.547
6,-5.143